SmMgSnHg: optimized geometry, PBE.

## Properties
Distance to the lowest polymorph of the same formula (meV/atom): 83
Size of the total moment (μB/atom): 0.000
Fermi-level density of states (states/eV/atom): 0.632
Calculated volume (Å³ per atom): 25.21
Energy relative to the elements (meV per atom): -405

The structure in CIF format:
```
data_SmMgSnHg
_cell_length_a 5.224
_cell_length_b 5.224
_cell_length_c 5.224
_cell_angle_alpha 60.00
_cell_angle_beta 60.00
_cell_angle_gamma 60.00
_symmetry_space_group_name_H-M 'P 1'
_symmetry_Int_Tables_number 1
loop_
_symmetry_equiv_pos_as_xyz
'x,y,z'
loop_
_atom_site_label
_atom_site_type_symbol
_atom_site_fract_x
_atom_site_fract_y
_atom_site_fract_z
_atom_site_occupancy
Sm1 Sm 0.000 0.000 0.000 1
Sn1 Sn 0.250 0.250 0.250 1
Hg1 Hg 0.750 0.750 0.750 1
Mg1 Mg 0.500 0.500 0.500 1
```

---

SmMgSnHg: optimized geometry, PBE.

## Properties
Distance to the lowest polymorph of the same formula (meV/atom): 0
Size of the total moment (μB/atom): 0.000
Fermi-level density of states (states/eV/atom): 0.330
Calculated volume (Å³ per atom): 24.93
Energy relative to the elements (meV per atom): -488

The structure in CIF format:
```
data_SmMgSnHg
_cell_length_a 4.354
_cell_length_b 4.652
_cell_length_c 4.924
_cell_angle_alpha 90.00
_cell_angle_beta 90.00
_cell_angle_gamma 90.00
_symmetry_space_group_name_H-M 'P 1'
_symmetry_Int_Tables_number 1
loop_
_symmetry_equiv_pos_as_xyz
'x,y,z'
loop_
_atom_site_label
_atom_site_type_symbol
_atom_site_fract_x
_atom_site_fract_y
_atom_site_fract_z
_atom_site_occupancy
Hg1 Hg 0.000 0.500 0.500 1
Sm1 Sm 0.500 0.500 0.000 1
Mg1 Mg 0.500 0.000 0.500 1
Sn1 Sn 0.000 0.000 0.000 1
```

---

SrSmMg2Hg4: optimized geometry, PBE.

## Properties
Size of the total moment (μB/atom): 0.000
Fermi-level density of states (states/eV/atom): 0.479
Calculated volume (Å³ per atom): 25.15
Energy relative to the elements (meV per atom): -429

The structure in CIF format:
```
data_SrSmMg2Hg4
_cell_length_a 5.181
_cell_length_b 5.181
_cell_length_c 9.157
_cell_angle_alpha 73.57
_cell_angle_beta 73.57
_cell_angle_gamma 60.00
_symmetry_space_group_name_H-M 'P 1'
_symmetry_Int_Tables_number 1
loop_
_symmetry_equiv_pos_as_xyz
'x,y,z'
loop_
_atom_site_label
_atom_site_type_symbol
_atom_site_fract_x
_atom_site_fract_y
_atom_site_fract_z
_atom_site_occupancy
Hg1 Hg 0.379 0.379 0.863 1
Hg2 Hg 0.874 0.874 0.379 1
Hg3 Hg 0.126 0.126 0.621 1
Hg4 Hg 0.621 0.621 0.137 1
Sm1 Sm 0.500 0.500 0.500 1
Sr1 Sr 0.000 0.000 0.000 1
Mg1 Mg 0.753 0.753 0.742 1
Mg2 Mg 0.247 0.247 0.258 1
```

---

TbSmMgHg: optimized geometry, PBE.

## Properties
Distance to the lowest polymorph of the same formula (meV/atom): 21
Size of the total moment (μB/atom): 0.076
Fermi-level density of states (states/eV/atom): 1.258
Calculated volume (Å³ per atom): 27.17
Energy relative to the elements (meV per atom): -262

The structure in CIF format:
```
data_TbSmMgHg
_cell_length_a 5.356
_cell_length_b 5.356
_cell_length_c 5.356
_cell_angle_alpha 60.00
_cell_angle_beta 60.00
_cell_angle_gamma 60.00
_symmetry_space_group_name_H-M 'P 1'
_symmetry_Int_Tables_number 1
loop_
_symmetry_equiv_pos_as_xyz
'x,y,z'
loop_
_atom_site_label
_atom_site_type_symbol
_atom_site_fract_x
_atom_site_fract_y
_atom_site_fract_z
_atom_site_occupancy
Mg1 Mg 0.000 0.000 0.000 1
Tb1 Tb 0.250 0.250 0.250 1
Sm1 Sm 0.750 0.750 0.750 1
Hg1 Hg 0.500 0.500 0.500 1
```

---

TbSm2MgHg4: optimized geometry, PBE.

## Properties
Size of the total moment (μB/atom): 0.000
Fermi-level density of states (states/eV/atom): 0.572
Calculated volume (Å³ per atom): 25.57
Energy relative to the elements (meV per atom): -469

The structure in CIF format:
```
data_TbSm2MgHg4
_cell_length_a 5.219
_cell_length_b 5.219
_cell_length_c 9.182
_cell_angle_alpha 73.49
_cell_angle_beta 73.49
_cell_angle_gamma 60.00
_symmetry_space_group_name_H-M 'P 1'
_symmetry_Int_Tables_number 1
loop_
_symmetry_equiv_pos_as_xyz
'x,y,z'
loop_
_atom_site_label
_atom_site_type_symbol
_atom_site_fract_x
_atom_site_fract_y
_atom_site_fract_z
_atom_site_occupancy
Sm1 Sm 0.245 0.245 0.266 1
Sm2 Sm 0.755 0.755 0.734 1
Hg1 Hg 0.124 0.124 0.628 1
Hg2 Hg 0.628 0.628 0.117 1
Hg3 Hg 0.876 0.876 0.372 1
Hg4 Hg 0.372 0.372 0.883 1
Tb1 Tb 0.000 0.000 0.000 1
Mg1 Mg 0.500 0.500 0.500 1
```

---

TbSmMgHg: optimized geometry, PBE.

## Properties
Distance to the lowest polymorph of the same formula (meV/atom): 0
Size of the total moment (μB/atom): 0.000
Fermi-level density of states (states/eV/atom): 1.177
Calculated volume (Å³ per atom): 27.14
Energy relative to the elements (meV per atom): -283

The structure in CIF format:
```
data_TbSmMgHg
_cell_length_a 3.807
_cell_length_b 3.807
_cell_length_c 7.492
_cell_angle_alpha 90.00
_cell_angle_beta 90.00
_cell_angle_gamma 90.00
_symmetry_space_group_name_H-M 'P 1'
_symmetry_Int_Tables_number 1
loop_
_symmetry_equiv_pos_as_xyz
'x,y,z'
loop_
_atom_site_label
_atom_site_type_symbol
_atom_site_fract_x
_atom_site_fract_y
_atom_site_fract_z
_atom_site_occupancy
Hg1 Hg 0.500 0.500 0.116 1
Mg1 Mg 0.500 0.500 0.601 1
Tb1 Tb 0.000 0.000 0.353 1
Sm1 Sm 0.000 0.000 0.858 1
```

---

SmThMgHg: optimized geometry, PBE.

## Properties
Size of the total moment (μB/atom): 0.000
Fermi-level density of states (states/eV/atom): 1.312
Calculated volume (Å³ per atom): 27.98
Energy relative to the elements (meV per atom): -122

The structure in CIF format:
```
data_SmThMgHg
_cell_length_a 5.409
_cell_length_b 5.409
_cell_length_c 5.409
_cell_angle_alpha 60.00
_cell_angle_beta 60.00
_cell_angle_gamma 60.00
_symmetry_space_group_name_H-M 'P 1'
_symmetry_Int_Tables_number 1
loop_
_symmetry_equiv_pos_as_xyz
'x,y,z'
loop_
_atom_site_label
_atom_site_type_symbol
_atom_site_fract_x
_atom_site_fract_y
_atom_site_fract_z
_atom_site_occupancy
Mg1 Mg 0.750 0.750 0.750 1
Sm1 Sm 0.500 0.500 0.500 1
Th1 Th 0.000 0.000 0.000 1
Hg1 Hg 0.250 0.250 0.250 1
```

---

SmThMg2Hg4: optimized geometry, PBE.

## Properties
Size of the total moment (μB/atom): 0.000
Fermi-level density of states (states/eV/atom): 0.457
Calculated volume (Å³ per atom): 24.54
Energy relative to the elements (meV per atom): -384

The structure in CIF format:
```
data_SmThMg2Hg4
_cell_length_a 5.157
_cell_length_b 5.157
_cell_length_c 9.028
_cell_angle_alpha 73.40
_cell_angle_beta 73.40
_cell_angle_gamma 60.00
_symmetry_space_group_name_H-M 'P 1'
_symmetry_Int_Tables_number 1
loop_
_symmetry_equiv_pos_as_xyz
'x,y,z'
loop_
_atom_site_label
_atom_site_type_symbol
_atom_site_fract_x
_atom_site_fract_y
_atom_site_fract_z
_atom_site_occupancy
Mg1 Mg 0.250 0.250 0.251 1
Mg2 Mg 0.750 0.750 0.749 1
Th1 Th 0.000 0.000 0.000 1
Hg1 Hg 0.622 0.622 0.133 1
Hg2 Hg 0.126 0.126 0.623 1
Hg3 Hg 0.874 0.874 0.377 1
Hg4 Hg 0.378 0.378 0.867 1
Sm1 Sm 0.500 0.500 0.500 1
```

---

SmMgTlHg: optimized geometry, PBE.

## Properties
Size of the total moment (μB/atom): 0.000
Fermi-level density of states (states/eV/atom): 0.084
Calculated volume (Å³ per atom): 25.29
Energy relative to the elements (meV per atom): -372

The structure in CIF format:
```
data_SmMgTlHg
_cell_length_a 5.230
_cell_length_b 5.230
_cell_length_c 5.230
_cell_angle_alpha 60.00
_cell_angle_beta 60.00
_cell_angle_gamma 60.00
_symmetry_space_group_name_H-M 'P 1'
_symmetry_Int_Tables_number 1
loop_
_symmetry_equiv_pos_as_xyz
'x,y,z'
loop_
_atom_site_label
_atom_site_type_symbol
_atom_site_fract_x
_atom_site_fract_y
_atom_site_fract_z
_atom_site_occupancy
Hg1 Hg 0.500 0.500 0.500 1
Sm1 Sm 0.250 0.250 0.250 1
Mg1 Mg 0.750 0.750 0.750 1
Tl1 Tl 0.000 0.000 0.000 1
```

---

SmTmMg2Hg4: optimized geometry, PBE.

## Properties
Size of the total moment (μB/atom): 0.000
Fermi-level density of states (states/eV/atom): 0.285
Calculated volume (Å³ per atom): 23.26
Energy relative to the elements (meV per atom): -455

The structure in CIF format:
```
data_SmTmMg2Hg4
_cell_length_a 5.076
_cell_length_b 5.076
_cell_length_c 8.841
_cell_angle_alpha 73.32
_cell_angle_beta 73.32
_cell_angle_gamma 60.00
_symmetry_space_group_name_H-M 'P 1'
_symmetry_Int_Tables_number 1
loop_
_symmetry_equiv_pos_as_xyz
'x,y,z'
loop_
_atom_site_label
_atom_site_type_symbol
_atom_site_fract_x
_atom_site_fract_y
_atom_site_fract_z
_atom_site_occupancy
Hg1 Hg 0.622 0.622 0.134 1
Hg2 Hg 0.127 0.127 0.619 1
Hg3 Hg 0.378 0.378 0.866 1
Hg4 Hg 0.873 0.873 0.381 1
Tm1 Tm 0.500 0.500 0.500 1
Sm1 Sm 0.000 0.000 0.000 1
Mg1 Mg 0.250 0.250 0.251 1
Mg2 Mg 0.750 0.750 0.749 1
```

---

Sm2YMgHg4: optimized geometry, PBE.

## Properties
Size of the total moment (μB/atom): 0.000
Fermi-level density of states (states/eV/atom): 0.463
Calculated volume (Å³ per atom): 25.51
Energy relative to the elements (meV per atom): -479

The structure in CIF format:
```
data_Sm2YMgHg4
_cell_length_a 5.217
_cell_length_b 5.217
_cell_length_c 9.167
_cell_angle_alpha 73.47
_cell_angle_beta 73.47
_cell_angle_gamma 60.00
_symmetry_space_group_name_H-M 'P 1'
_symmetry_Int_Tables_number 1
loop_
_symmetry_equiv_pos_as_xyz
'x,y,z'
loop_
_atom_site_label
_atom_site_type_symbol
_atom_site_fract_x
_atom_site_fract_y
_atom_site_fract_z
_atom_site_occupancy
Hg1 Hg 0.124 0.124 0.628 1
Hg2 Hg 0.628 0.628 0.117 1
Hg3 Hg 0.372 0.372 0.883 1
Hg4 Hg 0.876 0.876 0.372 1
Sm1 Sm 0.755 0.755 0.734 1
Sm2 Sm 0.245 0.245 0.266 1
Mg1 Mg 0.500 0.500 0.500 1
Y1 Y 0.000 0.000 0.000 1
```

---

SmYMgHg: optimized geometry, PBE.

## Properties
Distance to the lowest polymorph of the same formula (meV/atom): 16
Size of the total moment (μB/atom): 0.065
Fermi-level density of states (states/eV/atom): 1.185
Calculated volume (Å³ per atom): 27.13
Energy relative to the elements (meV per atom): -278

The structure in CIF format:
```
data_SmYMgHg
_cell_length_a 5.354
_cell_length_b 5.354
_cell_length_c 5.354
_cell_angle_alpha 60.00
_cell_angle_beta 60.00
_cell_angle_gamma 60.00
_symmetry_space_group_name_H-M 'P 1'
_symmetry_Int_Tables_number 1
loop_
_symmetry_equiv_pos_as_xyz
'x,y,z'
loop_
_atom_site_label
_atom_site_type_symbol
_atom_site_fract_x
_atom_site_fract_y
_atom_site_fract_z
_atom_site_occupancy
Y1 Y 0.750 0.750 0.750 1
Mg1 Mg 0.000 0.000 0.000 1
Sm1 Sm 0.250 0.250 0.250 1
Hg1 Hg 0.500 0.500 0.500 1
```